1.
This record from Alexandria via LeMat-Bulk describes InAg3Hg3 after structural relaxation. The functional is GGA-PBE.

Structure (CIF):
```
data_InAg3Hg3
_symmetry_space_group_name_H-M 'P m -3 n'
_symmetry_Int_Tables_number 223
_symmetry_space_group_name_Hall '-P 4n 2 3'
_cell_length_a 7.777
_cell_length_b 7.777
_cell_length_c 7.777
_cell_angle_alpha 90.00
_cell_angle_beta 90.00
_cell_angle_gamma 90.00
loop_
_atom_site_label
_atom_site_fract_x
_atom_site_fract_y
_atom_site_fract_z
In1 0.000 0.000 0.000
Ag1 0.000 0.250 0.500
Hg1 0.000 0.500 0.250
```

Properties
formation enthalpy at 0 K	0.444	eV/atom
DOS(E_F)	0.375	states/eV/atom

2.
This record from Alexandria via LeMat-Bulk describes Pr3Al3Ge2 after structural relaxation. The functional is GGA-PBE.

Structure (CIF):
```
data_Pr3Al3Ge2
_symmetry_space_group_name_H-M 'C m c m'
_symmetry_Int_Tables_number 63
_symmetry_space_group_name_Hall '-C 2c 2'
_cell_length_a 4.194
_cell_length_b 11.557
_cell_length_c 16.173
_cell_angle_alpha 90.00
_cell_angle_beta 90.00
_cell_angle_gamma 90.00
loop_
_atom_site_label
_atom_site_fract_x
_atom_site_fract_y
_atom_site_fract_z
Pr1 0.000 0.066 0.250
Pr2 0.000 0.355 0.092
Al1 0.000 0.070 0.058
Al2 0.000 0.204 0.750
Ge1 0.000 0.349 0.621
```

Properties
formation enthalpy at 0 K	-0.608	eV/atom
DOS(E_F)	0.430	states/eV/atom